A geometry-optimized NaLiIr structure. Source: OQMD via LeMat-Bulk, functional PBE.

SG: No. 216
offset from the most stable computed form: 0.000 kcal/mol of atoms
spin magnetization: 1.01 μB per cell
VASP energy: -3.172 eV per atom

Lattice parameters (Å, degrees): 4.3096 4.3096 4.3096 60.00 60.00 60.00
Closest atoms and distances in Å follow each position.
Element x y z (fractional)
Ir 0.2500 0.2500 0.2500  4 Li 2.64
Li 0.0000 0.0000 0.0000  4 Na 2.64, 4 Ir 2.64
Na 0.7500 0.7500 0.7500  4 Li 2.64

---

A geometry-optimized NaLiIr structure. Source: OQMD via LeMat-Bulk, functional PBE.

SG: No. 216
offset from the most stable computed form: 5.815 kcal/mol of atoms
spin magnetization: 1.00 μB per cell
VASP energy: -2.920 eV per atom

Lattice parameters (Å, degrees): 4.4584 4.4584 4.4584 60.00 60.00 60.00
Closest atoms and distances in Å follow each position.
Element x y z (fractional)
Ir 0.2500 0.2500 0.2500  4 Na 2.73
Li 0.7500 0.7500 0.7500  4 Na 2.73
Na 0.0000 0.0000 0.0000  4 Li 2.73, 4 Ir 2.73

---

A geometry-optimized Na3LiIr2O6 structure. Source: OQMD via LeMat-Bulk, functional PBE.

SG: No. 12
spin magnetization: 2.00 μB per cell
VASP energy: -5.687 eV per atom

Lattice parameters (Å, degrees): 5.3128 5.3128 5.5200 99.26 99.26 119.96
Closest atoms and distances in Å follow each position.
Element x y z (fractional)
Ir 0.6671 0.3329 0.0000  6 O 2.05
Ir 0.3329 0.6671 0.0000  6 O 2.05
Li 0.0000 0.0000 0.0000  6 O 2.13-2.14
Na 0.8405 0.1595 0.5000  6 O 2.33-2.37
Na 0.5000 0.5000 0.5000  6 O 2.30-2.37
Na 0.1595 0.8405 0.5000  6 O 2.33-2.37
O 0.7234 0.7234 0.2059  2 Ir 2.05, 1 Li 2.13
O 0.4163 0.0695 0.2080  2 Ir 2.05, 1 Li 2.14
O 0.0695 0.4163 0.2080  2 Ir 2.05, 1 Li 2.14
O 0.9305 0.5837 0.7920  2 Ir 2.05, 1 Li 2.14
O 0.5837 0.9305 0.7920  2 Ir 2.05, 1 Li 2.14
O 0.2766 0.2766 0.7941  2 Ir 2.05, 1 Li 2.13

---

A geometry-optimized NaLiReIr structure. Source: OQMD via LeMat-Bulk, functional PBE.

SG: No. 216
offset from the most stable computed form: 0.000 kcal/mol of atoms
spin magnetization: 0.00 μB per cell
VASP energy: -5.720 eV per atom

Lattice parameters (Å, degrees): 4.3302 4.3302 4.3302 60.00 60.00 60.00
Closest atoms and distances in Å follow each position.
Element x y z (fractional)
Ir 0.2500 0.2500 0.2500  4 Li 2.65, 4 Re 2.65
Li 0.5000 0.5000 0.5000  4 Ir 2.65, 4 Na 2.65
Na 0.7500 0.7500 0.7500  4 Li 2.65, 4 Re 2.65
Re 0.0000 0.0000 0.0000  4 Ir 2.65, 4 Na 2.65

---

A geometry-optimized NaLiReIr structure. Source: OQMD via LeMat-Bulk, functional PBE.

SG: No. 216
offset from the most stable computed form: 0.917 kcal/mol of atoms
spin magnetization: 0.00 μB per cell
VASP energy: -5.680 eV per atom

Lattice parameters (Å, degrees): 4.3463 4.3463 4.3463 60.00 60.00 60.00
Closest atoms and distances in Å follow each position.
Element x y z (fractional)
Ir 0.0000 0.0000 0.0000  4 Na 2.66, 4 Re 2.66
Li 0.5000 0.5000 0.5000  4 Re 2.66, 4 Na 2.66
Na 0.7500 0.7500 0.7500  4 Ir 2.66, 4 Li 2.66
Re 0.2500 0.2500 0.2500  4 Li 2.66, 4 Ir 2.66

---

A geometry-optimized LiNbIr2 structure. Source: OQMD via LeMat-Bulk, functional PBE.

SG: No. 139
offset from the most stable computed form: 0.000 kcal/mol of atoms
spin magnetization: 0.00 μB per cell
VASP energy: -7.910 eV per atom

Lattice parameters (Å, degrees): 4.3630 6.1571 13.0886 90.00 90.00 90.00
Closest atoms and distances in Å follow each position.
Element x y z (fractional)
Ir 0.5000 0.2500 0.0000  4 Li 2.67, 4 Nb 2.67
Ir 0.5000 0.7500 0.0000  4 Li 2.67, 4 Nb 2.67
Ir 0.9996 0.2500 0.1667  4 Nb 2.67, 4 Li 2.67
Ir 0.9996 0.7500 0.1667  4 Nb 2.67, 4 Li 2.67
Ir 0.4996 0.2500 0.3333  4 Nb 2.67, 4 Li 2.67
Ir 0.4996 0.7500 0.3333  4 Nb 2.67, 4 Li 2.67
Ir 0.0000 0.2500 0.5000  4 Li 2.67, 4 Nb 2.67
Ir 0.0000 0.7500 0.5000  4 Li 2.67, 4 Nb 2.67
Ir 0.5004 0.2500 0.6667  4 Nb 2.67, 4 Li 2.67
Ir 0.5004 0.7500 0.6667  4 Nb 2.67, 4 Li 2.67
Ir 0.0004 0.2500 0.8333  4 Nb 2.67, 4 Li 2.67
Ir 0.0004 0.7500 0.8333  4 Nb 2.67, 4 Li 2.67
Li 0.0000 0.0000 0.0000  8 Ir 2.67
Li 0.4996 0.5000 0.1666  8 Ir 2.67
Li 0.9996 0.0000 0.3334  8 Ir 2.67
Li 0.5000 0.5000 0.5000  8 Ir 2.67
Li 0.0004 0.0000 0.6666  8 Ir 2.67
Li 0.5004 0.5000 0.8334  8 Ir 2.67
Nb 0.0000 0.5000 0.0000  8 Ir 2.67
Nb 0.4997 0.0000 0.1667  8 Ir 2.67
Nb 0.9997 0.5000 0.3333  8 Ir 2.67
Nb 0.5000 0.0000 0.5000  8 Ir 2.67
Nb 0.0003 0.5000 0.6667  8 Ir 2.67
Nb 0.5003 0.0000 0.8333  8 Ir 2.67

---

A geometry-optimized LiNbIr2 structure. Source: OQMD via LeMat-Bulk, functional PBE.

SG: No. 194
offset from the most stable computed form: 4.634 kcal/mol of atoms
spin magnetization: 0.00 μB per cell
VASP energy: -7.709 eV per atom

Lattice parameters (Å, degrees): 4.1215 4.1215 8.3529 90.00 90.00 120.00
Closest atoms and distances in Å follow each position.
Element x y z (fractional)
Ir 0.6667 0.3333 0.0961  3 Li 2.51, 1 Ir 2.57, 3 Nb 2.70
Ir 0.6667 0.3333 0.4039  3 Li 2.51, 1 Ir 2.57, 3 Nb 2.70
Ir 0.3333 0.6667 0.5961  3 Li 2.51, 1 Ir 2.57, 3 Nb 2.70
Ir 0.3333 0.6667 0.9039  3 Li 2.51, 1 Ir 2.57, 3 Nb 2.70
Li 0.0000 0.0000 0.0000  6 Ir 2.51
Li 0.0000 0.0000 0.5000  6 Ir 2.51
Nb 0.3333 0.6667 0.2500  8 Ir 2.70-2.89
Nb 0.6667 0.3333 0.7500  8 Ir 2.70-2.89

---

A geometry-optimized LiNbIr2 structure. Source: OQMD via LeMat-Bulk, functional PBE.

SG: No. 194
offset from the most stable computed form: 7.609 kcal/mol of atoms
spin magnetization: 0.00 μB per cell
VASP energy: -7.580 eV per atom

Lattice parameters (Å, degrees): 4.3057 4.3057 8.2403 90.00 90.00 120.00
Closest atoms and distances in Å follow each position.
Element x y z (fractional)
Ir 0.6667 0.3333 0.1006  1 Ir 2.46, 3 Nb 2.62
Ir 0.6667 0.3333 0.3994  1 Ir 2.46, 3 Nb 2.62
Ir 0.3333 0.6667 0.6006  1 Ir 2.46, 3 Nb 2.62
Ir 0.3333 0.6667 0.8994  1 Ir 2.46, 3 Nb 2.62
Li 0.3333 0.6667 0.2500  8 Ir 2.77-2.89
Li 0.6667 0.3333 0.7500  8 Ir 2.77-2.89
Nb 0.0000 0.0000 0.0000  6 Ir 2.62
Nb 0.0000 0.0000 0.5000  6 Ir 2.62